(1)
# Na3Tl8Sn2 PBE-GGA optimized geometry
data_Na3Tl8Sn2
_cell_length_a 12.5615
_cell_length_b 10.8959
_cell_length_c 6.6244
_cell_angle_alpha 90.00
_cell_angle_beta 119.74
_cell_angle_gamma 90.00
_symmetry_space_group_name_H-M 'C 1 2/m 1'
_symmetry_Int_Tables_number 12
loop_
_symmetry_equiv_pos_as_xyz
'x,y,z'
'-x,-y,-z'
'-x,y,-z'
'x,-y,z'
'x+1/2,y+1/2,z'
'-x+1/2,-y+1/2,-z'
'-x+1/2,y+1/2,-z'
'x+1/2,-y+1/2,z'
loop_
_atom_site_label
_atom_site_type_symbol
_atom_site_fract_x
_atom_site_fract_y
_atom_site_fract_z
Na1 Na 0.0000 0.0000 0.0000
Na2 Na 0.0000 0.2592 0.5000
Tl1 Tl 0.0730 0.5000 0.8433
Tl2 Tl 0.1455 0.0000 0.7263
Tl3 Tl 0.1690 0.2511 0.1799
Sn1 Sn 0.2084 0.5000 0.5383
# Total moment, μB/f.u.: 0.0
# E above lowest polymorph, kJ per mole of atoms: 0.0
# Formation energy from the elements, eV/f.u.: -0.46
# E_tot, eV/atom: -2.411



(2)
# Ho3PaTl3Te8 PBE-GGA optimized geometry
data_Ho3PaTl3Te8
_cell_length_a 8.8220
_cell_length_b 8.8220
_cell_length_c 24.7582
_cell_angle_alpha 90.00
_cell_angle_beta 90.00
_cell_angle_gamma 120.00
_symmetry_space_group_name_H-M 'R -3 m'
_symmetry_Int_Tables_number 166
_symmetry_space_group_name_Hall '-R 3 2"'
loop_
_atom_site_label
_atom_site_type_symbol
_atom_site_fract_x
_atom_site_fract_y
_atom_site_fract_z
Ho1 Ho 0.0000 0.5000 0.0000
Pa1 Pa 0.0000 0.0000 0.0000
Tl1 Tl 0.0000 0.5000 0.5000
Te1 Te 0.0000 0.0000 0.2627
Te2 Te 0.0022 0.5011 0.2625
# Total moment, μB/f.u.: 1.0
# ΔE_f (raw), eV/atom: -0.99
# E_tot, eV/atom: -4.692



(3)
# HgSbAu2 PBE-GGA optimized geometry
data_HgSbAu2
_cell_length_a 7.0187
_cell_length_b 7.0187
_cell_length_c 7.0187
_cell_angle_alpha 90.00
_cell_angle_beta 90.00
_cell_angle_gamma 90.00
_symmetry_space_group_name_H-M 'F m -3 m'
_symmetry_Int_Tables_number 225
_symmetry_space_group_name_Hall '-F 4 2 3'
loop_
_atom_site_label
_atom_site_type_symbol
_atom_site_fract_x
_atom_site_fract_y
_atom_site_fract_z
Hg1 Hg 0.0000 0.0000 0.0000
Sb1 Sb 0.0000 0.0000 0.5000
Au1 Au 0.2500 0.2500 0.2500
# Total moment, μB/f.u.: 0.0
# E above lowest polymorph, kJ per mole of atoms: 14.2
# ΔE_f (raw), eV/atom: 0.17
# E_tot, eV/atom: -2.575



(4)
# Al2AuBr PBE-GGA optimized geometry
data_Al2AuBr
_cell_length_a 7.0386
_cell_length_b 7.0386
_cell_length_c 7.0386
_cell_angle_alpha 90.00
_cell_angle_beta 90.00
_cell_angle_gamma 90.00
_symmetry_space_group_name_H-M 'F -4 3 m'
_symmetry_Int_Tables_number 216
_symmetry_space_group_name_Hall 'F -4 2 3'
loop_
_atom_site_label
_atom_site_type_symbol
_atom_site_fract_x
_atom_site_fract_y
_atom_site_fract_z
Al1 Al 0.0000 0.0000 0.0000
Al2 Al 0.2500 0.2500 0.2500
Au1 Au 0.0000 0.0000 0.5000
Br1 Br 0.2500 0.2500 0.7500
# Total moment, μB/f.u.: 0.0
# E above lowest polymorph, kJ per mole of atoms: 68.1
# ΔE_f (raw), eV/atom: 0.35
# E_tot, eV/atom: -2.759



(5)
# CsTcAgO4 PBE-GGA optimized geometry
data_CsTcAgO4
_cell_length_a 5.4889
_cell_length_b 6.5673
_cell_length_c 8.4592
_cell_angle_alpha 90.00
_cell_angle_beta 106.37
_cell_angle_gamma 90.00
_symmetry_space_group_name_H-M 'P 1 21/m 1'
_symmetry_Int_Tables_number 11
loop_
_symmetry_equiv_pos_as_xyz
'x,y,z'
'-x,-y,-z'
'-x,y+1/2,-z'
'x,-y+1/2,z'
loop_
_atom_site_label
_atom_site_type_symbol
_atom_site_fract_x
_atom_site_fract_y
_atom_site_fract_z
Cs1 Cs 0.1773 0.2500 0.1397
Tc1 Tc 0.3634 0.2500 0.7032
Ag1 Ag 0.1670 0.7500 0.5273
O1 O 0.1738 0.0264 0.7095
O2 O 0.3543 0.7500 0.1300
O3 O 0.4375 0.2500 0.5094
# Total moment, μB/f.u.: 1.0
# ΔE_f (raw), eV/atom: -1.19
# E_tot, eV/atom: -6.038



(6)
# SrYNi2 PBE-GGA optimized geometry
data_SrYNi2
_cell_length_a 4.0581
_cell_length_b 4.0581
_cell_length_c 10.4551
_cell_angle_alpha 90.00
_cell_angle_beta 90.00
_cell_angle_gamma 90.00
_symmetry_space_group_name_H-M 'I -4 m 2'
_symmetry_Int_Tables_number 119
_symmetry_space_group_name_Hall 'I -4 -2'
loop_
_atom_site_label
_atom_site_type_symbol
_atom_site_fract_x
_atom_site_fract_y
_atom_site_fract_z
Sr1 Sr 0.0000 0.0000 0.0000
Y1 Y 0.0000 0.5000 0.7500
Ni1 Ni 0.0000 0.0000 0.5000
Ni2 Ni 0.0000 0.5000 0.2500
# Total moment, μB/f.u.: 0.0
# E above lowest polymorph, kJ per mole of atoms: 32.5
# Formation energy from the elements, eV/f.u.: 0.65
# E_tot, eV/atom: -4.765



(7)
# RbBaSi3 PBE-GGA optimized geometry
data_RbBaSi3
_cell_length_a 5.6216
_cell_length_b 5.6216
_cell_length_c 5.6216
_cell_angle_alpha 90.00
_cell_angle_beta 90.00
_cell_angle_gamma 90.00
_symmetry_space_group_name_H-M 'P m -3 m'
_symmetry_Int_Tables_number 221
_symmetry_space_group_name_Hall '-P 4 2 3'
loop_
_atom_site_label
_atom_site_type_symbol
_atom_site_fract_x
_atom_site_fract_y
_atom_site_fract_z
Rb1 Rb 0.0000 0.0000 0.0000
Ba1 Ba 0.5000 0.5000 0.5000
Si1 Si 0.0000 0.0000 0.5000
# Total moment, μB/f.u.: 0.0
# E above lowest polymorph, kJ per mole of atoms: 12.2
# ΔE_f (raw), eV/atom: 1.37
# E_tot, eV/atom: -2.466



(8)
# CsRbReBr6 PBE-GGA optimized geometry
data_CsRbReBr6
_cell_length_a 8.4994
_cell_length_b 8.4994
_cell_length_c 11.8478
_cell_angle_alpha 90.00
_cell_angle_beta 90.00
_cell_angle_gamma 120.00
_symmetry_space_group_name_H-M 'P -3 1 c'
_symmetry_Int_Tables_number 163
_symmetry_space_group_name_Hall '-P 3 2c'
loop_
_atom_site_label
_atom_site_type_symbol
_atom_site_fract_x
_atom_site_fract_y
_atom_site_fract_z
Cs1 Cs 0.3333 0.6667 0.2500
Rb1 Rb 0.0000 0.0000 0.0000
Re1 Re 0.3333 0.6667 0.7500
Br1 Br 0.0937 0.4206 0.6251
# Total moment, μB/f.u.: 3.0
# ΔE_f (raw), eV/atom: -0.95
# E_tot, eV/atom: -3.649



V for the records above, in order: 30.3 37.1 21.6 21.8 20.9 21.5 35.5 41.2 Å³ per atom